1.
# Fe3MoAu (GGA-PBE, optimized geometry)
data_Fe3MoAu
_cell_length_a 4.437
_cell_length_b 4.437
_cell_length_c 4.437
_cell_angle_alpha 90.00
_cell_angle_beta 90.00
_cell_angle_gamma 90.00
_space_group_name_H-M_alt 'P m -3 m'
_space_group_IT_number 221
_space_group_name_Hall '-P 4 2 3'
loop_
_atom_site_label
_atom_site_type_symbol
_atom_site_fract_x
_atom_site_fract_y
_atom_site_fract_z
Fe1 Fe 0.000 0.000 0.500
Mo1 Mo 0.000 0.000 0.000
Au1 Au 0.500 0.500 0.500
# **DFT total energy**: -32.40 eV for the cell shown
# **DFT formation energy**: 1.42 eV/atom
# **Magnetic moment**: 4.67 μB per formula unit

2.
# Sr2LiGaPd2 (GGA-PBE, optimized geometry)
data_Sr2LiGaPd2
_cell_length_a 6.150
_cell_length_b 14.882
_cell_length_c 6.353
_cell_angle_alpha 90.00
_cell_angle_beta 90.00
_cell_angle_gamma 90.00
_space_group_name_H-M_alt 'I b a m'
_space_group_IT_number 72
_space_group_name_Hall '-I 2 2c'
loop_
_atom_site_label
_atom_site_type_symbol
_atom_site_fract_x
_atom_site_fract_y
_atom_site_fract_z
Sr1 Sr 0.244 0.167 0.000
Li1 Li 0.000 0.000 0.250
Ga1 Ga 0.000 0.500 0.250
Pd1 Pd 0.230 0.399 0.000
# **DFT total energy**: -88.05 eV for the cell shown
# **DFT formation energy**: -0.55 eV/atom
# **Magnetic moment**: 0.00 μB per formula unit

Q: DFT formation energy of number 2 (Sr2LiGaPd2)?
A: -0.55 eV/atom